Record 1
Material: La2GeSb2
Method: DFT, PBE
State: relaxed

Energy relative to the lowest polymorph listed for this composition   0.122 eV/atom
Size of the total moment   0.00 μB per atom
Theoretical density   6.35 Mg/m³

Cell lengths 8.378, 8.378, 4.425 Å; angles 90.00, 90.00, 90.00 degrees
Element x y z (fractional)
La  0.154  0.346  0.000
La  0.346  0.846  0.000
La  0.654  0.154  0.000
La  0.846  0.654  0.000
Ge  0.000  0.000  0.000
Ge  0.500  0.500  0.000
Sb  0.159  0.659  0.500
Sb  0.341  0.159  0.500
Sb  0.659  0.841  0.500
Sb  0.841  0.341  0.500


Record 2
Material: LaGe2Sb2
Method: DFT, PBE
State: relaxed

Energy relative to the lowest polymorph listed for this composition   0.119 eV/atom
Size of the total moment   0.00 μB per atom
Theoretical density   6.43 Mg/m³

Cell lengths 8.216, 8.216, 4.040 Å; angles 90.00, 90.00, 90.00 degrees
Element x y z (fractional)
La  0.000  0.000  0.000
La  0.500  0.500  0.000
Ge  0.204  0.296  0.500
Ge  0.296  0.796  0.500
Ge  0.704  0.204  0.500
Ge  0.796  0.704  0.500
Sb  0.128  0.628  0.000
Sb  0.372  0.128  0.000
Sb  0.628  0.872  0.000
Sb  0.872  0.372  0.000


Record 3
Material: LaGe2Sb
Method: DFT, PBE
State: relaxed

Size of the total moment   0.00 μB per atom
Theoretical density   6.32 Mg/m³
E_tot   -4.813 eV/atom

Cell lengths 8.191, 8.191, 6.356 Å; angles 90.00, 90.00, 90.00 degrees
Element x y z (fractional)
La  0.000  0.000  0.000
La  0.000  0.500  0.250
La  0.500  0.000  0.750
La  0.500  0.500  0.500
Ge  0.227  0.250  0.625
Ge  0.250  0.727  0.875
Ge  0.250  0.773  0.375
Ge  0.273  0.250  0.125
Ge  0.727  0.750  0.125
Ge  0.750  0.227  0.375
Ge  0.750  0.273  0.875
Ge  0.773  0.750  0.625
Sb  0.000  0.000  0.500
Sb  0.000  0.500  0.750
Sb  0.500  0.000  0.250
Sb  0.500  0.500  0.000


Record 4
Material: La6GeSb2
Method: DFT, PBE
State: relaxed

Size of the total moment   0.17 μB per atom
Theoretical density   6.65 Mg/m³
E_tot   -5.519 eV/atom

Cell lengths 4.498, 8.587, 8.587 Å; angles 120.04, 90.00, 90.00 degrees
Element x y z (fractional)
La  0.000  0.000  0.000
La  0.000  0.479  0.690
La  0.000  0.690  0.479
La  0.500  0.123  0.719
La  0.500  0.271  0.271
La  0.500  0.719  0.123
Ge  0.500  0.758  0.758
Sb  0.000  0.032  0.395
Sb  0.000  0.395  0.032


Record 5
Material: La2GeSb2
Method: DFT, PBE
State: relaxed

Energy relative to the lowest polymorph listed for this composition   0.000 eV/atom
Size of the total moment   0.00 μB per atom
Theoretical density   6.54 Mg/m³

Cell lengths 8.185, 8.185, 4.504 Å; angles 90.00, 90.00, 90.00 degrees
Element x y z (fractional)
La  0.158  0.342  0.000
La  0.342  0.842  0.000
La  0.658  0.158  0.000
La  0.842  0.658  0.000
Ge  0.000  0.000  0.500
Ge  0.500  0.500  0.500
Sb  0.152  0.652  0.500
Sb  0.348  0.152  0.500
Sb  0.652  0.848  0.500
Sb  0.848  0.348  0.500


Record 6
Material: La2Ge2Sb
Method: DFT, PBE
State: relaxed

Energy relative to the lowest polymorph listed for this composition   0.000 eV/atom
Size of the total moment   0.00 μB per atom
Theoretical density   6.77 Mg/m³

Cell lengths 7.738, 7.738, 4.466 Å; angles 90.00, 90.00, 90.00 degrees
Element x y z (fractional)
La  0.179  0.321  0.000
La  0.321  0.821  0.000
La  0.679  0.179  0.000
La  0.821  0.679  0.000
Ge  0.118  0.618  0.500
Ge  0.382  0.118  0.500
Ge  0.618  0.882  0.500
Ge  0.882  0.382  0.500
Sb  0.000  0.000  0.500
Sb  0.500  0.500  0.500


Record 7
Material: La5Ge2Sb2
Method: DFT, PBE
State: relaxed

Size of the total moment   0.00 μB per atom
Theoretical density   6.40 Mg/m³
E_tot   -5.680 eV/atom

Cell lengths 9.027, 9.027, 8.405 Å; angles 90.00, 90.00, 55.10 degrees
Element x y z (fractional)
La  0.000  0.000  0.000
La  0.041  0.698  0.669
La  0.198  0.541  0.169
La  0.302  0.959  0.669
La  0.459  0.802  0.169
La  0.500  0.500  0.500
La  0.541  0.198  0.831
La  0.698  0.041  0.331
La  0.802  0.459  0.831
La  0.959  0.302  0.331
Ge  0.129  0.871  0.371
Ge  0.371  0.629  0.871
Ge  0.629  0.371  0.129
Ge  0.871  0.129  0.629
Sb  0.205  0.205  0.000
Sb  0.295  0.295  0.500
Sb  0.705  0.705  0.500
Sb  0.795  0.795  0.000


Record 8
Material: La2Ge2Sb
Method: DFT, PBE
State: relaxed

Energy relative to the lowest polymorph listed for this composition   0.098 eV/atom
Size of the total moment   0.00 μB per atom
Theoretical density   6.46 Mg/m³

Cell lengths 4.011, 4.011, 17.415 Å; angles 90.00, 90.00, 90.00 degrees
Element x y z (fractional)
La  0.000  0.000  0.105
La  0.000  0.000  0.895
La  0.500  0.500  0.395
La  0.500  0.500  0.605
Ge  0.000  0.500  0.250
Ge  0.000  0.500  0.750
Ge  0.500  0.000  0.250
Ge  0.500  0.000  0.750
Sb  0.000  0.000  0.500
Sb  0.500  0.500  0.000


Record 9
Material: LaGe2Sb
Method: DFT, PBE
State: relaxed

Size of the total moment   0.00 μB per atom
Theoretical density   6.98 Mg/m³
E_tot   -5.058 eV/atom

Cell lengths 4.637, 4.637, 4.493 Å; angles 90.00, 90.00, 90.00 degrees
Element x y z (fractional)
La  0.000  0.000  0.000
Ge  0.000  0.500  0.500
Ge  0.500  0.000  0.500
Sb  0.500  0.500  0.000


Record 10
Material: La2GeSb4
Method: DFT, PBE
State: relaxed

Size of the total moment   0.00 μB per atom
Theoretical density   6.46 Mg/m³
E_tot   -5.098 eV/atom

Cell lengths 4.411, 4.411, 11.067 Å; angles 90.00, 90.00, 90.00 degrees
Element x y z (fractional)
La  0.000  0.500  0.230
La  0.500  0.000  0.770
Ge  0.000  0.000  0.500
Sb  0.000  0.000  0.000
Sb  0.000  0.500  0.670
Sb  0.500  0.000  0.330
Sb  0.500  0.500  0.000


Record 11
Material: La2Sc2GeSb2
Method: DFT, PBE
State: relaxed

Size of the total moment   0.00 μB per atom
Theoretical density   5.54 Mg/m³
E_tot   -5.881 eV/atom

Cell lengths 4.953, 4.953, 16.723 Å; angles 90.00, 90.00, 90.00 degrees
Element x y z (fractional)
La  0.000  0.000  0.173
La  0.000  0.000  0.827
La  0.500  0.500  0.327
La  0.500  0.500  0.673
Sc  0.000  0.500  0.000
Sc  0.000  0.500  0.500
Sc  0.500  0.000  0.000
Sc  0.500  0.000  0.500
Ge  0.000  0.000  0.000
Ge  0.500  0.500  0.500
Sb  0.000  0.000  0.373
Sb  0.000  0.000  0.627
Sb  0.500  0.500  0.127
Sb  0.500  0.500  0.873


Record 12
Material: La2ScGeSb
Method: DFT, PBE
State: relaxed

Size of the total moment   0.06 μB per atom
Theoretical density   5.72 Mg/m³
E_tot   -5.824 eV/atom

Cell lengths 4.433, 4.433, 15.271 Å; angles 90.00, 90.00, 90.00 degrees
Element x y z (fractional)
La  0.250  0.250  0.101
La  0.250  0.250  0.702
La  0.750  0.750  0.298
La  0.750  0.750  0.899
Sc  0.250  0.750  0.500
Sc  0.750  0.250  0.500
Ge  0.250  0.250  0.895
Ge  0.750  0.750  0.105
Sb  0.250  0.250  0.360
Sb  0.750  0.750  0.640


Q: Which formula does entry 2 have?
A: LaGe2Sb2